This record from Alexandria via LeMat-Bulk describes Mg2BH6 after structural relaxation. The functional is PBE-GGA.

## Properties
Calculated total energy: -27.049 eV per cell
D(E_F): 3.03 states/eV/f.u.
Energy above the most stable polymorph in this dataset: 1.04 eV/f.u.

Cell lengths 4.471, 4.471, 4.471 Å; angles 60.00, 60.00, 60.00 degrees
Site moments in Bohr magnetons follow the coordinates.
Fractional positions:
Mg: 0.750 0.750 0.750  0.02
Mg: 0.250 0.250 0.250  0.02
B: 0.000 0.000 0.000  0.05
H: 0.235 0.765 0.765  0.00
H: 0.765 0.765 0.235  0.00
H: 0.765 0.235 0.765  0.00
H: 0.765 0.235 0.235  0.00
H: 0.235 0.235 0.765  0.00
H: 0.235 0.765 0.235  0.00